A relaxed structure of Li4MgCdSi2. Source: OQMD, functional GGA-PBE.

a = 4.490 Å, b = 4.490 Å, c = 6.294 Å
α = 90.00°, β = 90.00°, γ = 90.00°
Atoms (fractional coordinates):
Li 0.500 0.000 0.755
Li 0.500 0.500 0.000
Li 0.000 0.000 0.500
Li 0.000 0.500 0.245
Si 0.500 0.000 0.258
Si 0.000 0.500 0.742
Mg 0.500 0.500 0.500
Cd 0.000 0.000 0.000

Computed properties:
The final energy comes out at -2.8384 eV per atom. Its space-group type is P-4m2, No. 115.

A relaxed structure of LiSmMgCd. Source: OQMD, functional GGA-PBE.

a = 5.062 Å, b = 5.062 Å, c = 5.062 Å
α = 60.00°, β = 60.00°, γ = 60.00°
Atoms (fractional coordinates):
Mg 0.250 0.250 0.250
Li 0.500 0.500 0.500
Cd 0.000 0.000 0.000
Sm 0.750 0.750 0.750

Computed properties:
The final energy comes out at -2.4924 eV per atom. Its space-group type is F-43m, No. 216.

A relaxed structure of Li4MgCdSn2. Source: OQMD, functional GGA-PBE.

a = 4.809 Å, b = 4.809 Å, c = 8.561 Å
α = 90.00°, β = 90.00°, γ = 120.00°
Atoms (fractional coordinates):
Li 0.667 0.333 0.335
Li 0.333 0.667 0.830
Li 0.667 0.333 0.665
Li 0.333 0.667 0.170
Sn 0.667 0.333 0.000
Sn 0.333 0.667 0.500
Cd 0.000 0.000 0.000
Mg 0.000 0.000 0.500

Computed properties:
Its space-group type is P-6m2, No. 187. Its offset from the most stable computed form is 30 meV/atom.

A relaxed structure of Li4MgCdSn2. Source: OQMD, functional GGA-PBE.

a = 4.760 Å, b = 4.760 Å, c = 6.703 Å
α = 90.00°, β = 90.00°, γ = 90.00°
Atoms (fractional coordinates):
Sn 0.500 0.000 0.742
Sn 0.000 0.500 0.258
Li 0.000 0.500 0.755
Li 0.500 0.500 0.000
Li 0.500 0.000 0.245
Li 0.000 0.000 0.500
Cd 0.000 0.000 0.000
Mg 0.500 0.500 0.500

Computed properties:
Its space-group type is P-4m2, No. 115. Its offset from the most stable computed form is 0 meV/atom.